1.
Density functional theory data (PBE) for a geometry-optimized BaLi4Cd2Hg structure.

Output
DOS at the Fermi energy = 11.3 states/eV per cell
M_tot = 0.0 Bohr magnetons per cell
formation enthalpy at 0 K = -218 meV per atom

Structure (CIF):
```
data_BaLi4Cd2Hg
_chemical_formula_sum 'Ba3 Li12 Cd6 Hg3'
_space_group_name_H-M_alt 'R -3 m'
_space_group_IT_number 166
_space_group_name_Hall '-R 3 2"'
_cell_length_a 4.7877
_cell_length_b 4.7877
_cell_length_c 29.6975
_cell_angle_alpha 90.00
_cell_angle_beta 90.00
_cell_angle_gamma 120.00
loop_
_atom_site_label
_atom_site_fract_x
_atom_site_fract_y
_atom_site_fract_z
Ba1 0.0000 0.0000 0.0000
Li1 0.0000 0.0000 0.1371
Li2 0.0000 0.0000 0.4126
Cd1 0.0000 0.0000 0.2396
Hg1 0.0000 0.0000 0.5000
```

***

2.
Density functional theory data (PBE) for a geometry-optimized BaLi2CdHg structure.

Output
DOS at the Fermi energy = 3.3 states/eV per cell
M_tot = 0.0 Bohr magnetons per cell
formation enthalpy at 0 K = -110 meV per atom

Structure (CIF):
```
data_BaLi2CdHg
_chemical_formula_sum 'Ba1 Li2 Cd1 Hg1'
_space_group_name_H-M_alt 'P 4/m m m'
_space_group_IT_number 123
_space_group_name_Hall '-P 4 2'
_cell_length_a 5.283
_cell_length_b 5.283
_cell_length_c 5.476
_cell_angle_alpha 90.00
_cell_angle_beta 90.00
_cell_angle_gamma 90.00
loop_
_atom_site_label
_atom_site_fract_x
_atom_site_fract_y
_atom_site_fract_z
Ba1 0.000 0.000 0.000
Li1 0.000 0.500 0.500
Cd1 0.500 0.500 0.500
Hg1 0.500 0.500 0.000
```

***

3.
Density functional theory data (PBE) for a geometry-optimized Ba2LiCd3Hg4 structure.

Output
DOS at the Fermi energy = 6.2 states/eV per cell
M_tot = 0.0 Bohr magnetons per cell
formation enthalpy at 0 K = -332 meV per atom

Structure (CIF):
```
data_Ba2LiCd3Hg4
_chemical_formula_sum 'Ba2 Li1 Cd3 Hg4'
_space_group_name_H-M_alt 'P -4 m 2'
_space_group_IT_number 115
_space_group_name_Hall 'P -4 -2'
_cell_length_a 4.880
_cell_length_b 4.880
_cell_length_c 12.286
_cell_angle_alpha 90.00
_cell_angle_beta 90.00
_cell_angle_gamma 90.00
loop_
_atom_site_label
_atom_site_fract_x
_atom_site_fract_y
_atom_site_fract_z
Ba1 0.000 0.500 0.247
Li1 0.000 0.000 0.500
Cd1 0.000 0.500 0.863
Cd2 0.500 0.500 0.500
Hg1 0.000 0.000 0.000
Hg2 0.000 0.500 0.628
Hg3 0.500 0.500 0.000
```

***

4.
Density functional theory data (PBE) for a geometry-optimized BaLi2CdHg4 structure.

Output
DOS at the Fermi energy = 13.6 states/eV per cell
M_tot = 0.0 Bohr magnetons per cell
formation enthalpy at 0 K = -330 meV per atom

Structure (CIF):
```
data_BaLi2CdHg4
_chemical_formula_sum 'Ba3 Li6 Cd3 Hg12'
_space_group_name_H-M_alt 'R -3 m'
_space_group_IT_number 166
_space_group_name_Hall '-R 3 2"'
_cell_length_a 4.8471
_cell_length_b 4.8471
_cell_length_c 30.6156
_cell_angle_alpha 90.00
_cell_angle_beta 90.00
_cell_angle_gamma 120.00
loop_
_atom_site_label
_atom_site_fract_x
_atom_site_fract_y
_atom_site_fract_z
Ba1 0.0000 0.0000 0.0000
Li1 0.0000 0.0000 0.2224
Cd1 0.0000 0.0000 0.5000
Hg1 0.0000 0.0000 0.1231
Hg2 0.0000 0.0000 0.4008
```

***

5.
Density functional theory data (PBE) for a geometry-optimized BaLi4CdHg2 structure.

Output
DOS at the Fermi energy = 13.3 states/eV per cell
M_tot = 0.0 Bohr magnetons per cell
formation enthalpy at 0 K = -262 meV per atom

Structure (CIF):
```
data_BaLi4CdHg2
_chemical_formula_sum 'Ba3 Li12 Cd3 Hg6'
_space_group_name_H-M_alt 'R -3 m'
_space_group_IT_number 166
_space_group_name_Hall '-R 3 2"'
_cell_length_a 4.7287
_cell_length_b 4.7287
_cell_length_c 29.5385
_cell_angle_alpha 90.00
_cell_angle_beta 90.00
_cell_angle_gamma 120.00
loop_
_atom_site_label
_atom_site_fract_x
_atom_site_fract_y
_atom_site_fract_z
Ba1 0.0000 0.0000 0.0000
Li1 0.0000 0.0000 0.1348
Li2 0.0000 0.0000 0.4112
Cd1 0.0000 0.0000 0.5000
Hg1 0.0000 0.0000 0.2389
```

***

6.
Density functional theory data (PBE) for a geometry-optimized Ba2LiCdHg2 structure.

Output
DOS at the Fermi energy = 23.5 states/eV per cell
M_tot = 0.0 Bohr magnetons per cell
formation enthalpy at 0 K = -371 meV per atom

Structure (CIF):
```
data_Ba2LiCdHg2
_chemical_formula_sum 'Ba8 Li4 Cd4 Hg8'
_space_group_name_H-M_alt 'C 1 2/m 1'
_space_group_IT_number 12
_space_group_name_Hall '-C 2y'
_cell_length_a 18.229
_cell_length_b 6.892
_cell_length_c 6.810
_cell_angle_alpha 90.00
_cell_angle_beta 111.89
_cell_angle_gamma 90.00
loop_
_atom_site_label
_atom_site_fract_x
_atom_site_fract_y
_atom_site_fract_z
Ba1 0.166 0.000 0.405
Ba2 0.166 0.500 0.926
Li1 0.000 0.250 0.500
Cd1 0.000 0.250 0.000
Hg1 0.107 0.000 0.838
Hg2 0.107 0.500 0.376
```

***

What is the M_tot in the second record? 0.0 Bohr magnetons per cell

***

Among the records above, which one has the highest DOS at the Fermi energy? Ba2LiCdHg2

***

Number 3 is which compound? Ba2LiCd3Hg4